[1]
An optimized crystal structure of Nb2VRe, computed with PBE.

Summary:
For the density of states at the Fermi level, the calculation gives 0.65 states/eV/atom. The value obtained for the total DFT energy (no corrections) is -42.423 eV/cell. Its formation energy is -0.72 eV/f.u. The total moment comes out at 0.00 μB per formula unit.

Cell lengths 3.181, 3.181, 6.398 Å; angles 90.00, 90.00, 90.00 degrees
Space group P4/mmm (No. 123)
Unique sites:
Nb 0.000 0.000 0.249
V 0.500 0.500 0.000
Re 0.500 0.500 0.500

[2]
An optimized crystal structure of Nb3VRe2, computed with PBE.

Summary:
For the density of states at the Fermi level, the calculation gives 0.61 states/eV/atom. The value obtained for the total DFT energy (no corrections) is -262.480 eV/cell. Its formation energy is -1.40 eV/f.u. The total moment comes out at 0.00 μB per formula unit.

Cell lengths 4.517, 13.541, 6.399 Å; angles 90.00, 90.00, 90.00 degrees
Space group Cmmm (No. 65)
Unique sites:
Nb 0.000 0.000 0.249
Nb 0.000 0.333 0.249
V 0.000 0.168 0.000
Re 0.000 0.166 0.500
Re 0.000 0.500 0.000
Re 0.000 0.500 0.500

[3]
An optimized crystal structure of NbReW3, computed with PBE.

Summary:
For the density of states at the Fermi level, the calculation gives 0.91 states/eV/atom. The value obtained for the total DFT energy (no corrections) is -476.111 eV/cell. Its formation energy is 1.86 eV/f.u. The total moment comes out at 0.00 μB per formula unit. The calculation puts the energy above the lowest structure with this stoichiometry at 0.000 eV per atom.

Cell lengths 12.922, 10.989, 5.013 Å; angles 90.00, 110.00, 90.00 degrees
Space group C2/c (No. 15)
Unique sites:
Nb 0.000 0.077 0.250
Nb 0.000 0.186 0.750
Re 0.099 0.427 0.945
W 0.099 0.326 0.441
W 0.205 0.068 0.651
W 0.210 0.188 0.173

[4]
An optimized crystal structure of Nb2ReW6, computed with PBE.

Summary:
For the density of states at the Fermi level, the calculation gives 0.87 states/eV/atom. The value obtained for the total DFT energy (no corrections) is -211.661 eV/cell. Its formation energy is 4.48 eV/f.u. The total moment comes out at 0.02 μB per formula unit.

Cell lengths 12.942, 4.581, 5.436 Å; angles 90.00, 100.89, 90.00 degrees
Space group C2/m (No. 12)
Unique sites:
Nb 0.103 0.000 0.484
Re 0.000 0.000 0.000
W 0.004 0.500 0.747
W 0.193 0.500 0.142
W 0.208 0.500 0.663